Computed, not measured: a PBEsol-optimized structure of Li2CoAs at the SCAN level of DFT.

abc: 2.8963 3.1469 5.9914
angles: 90.00 90.00 90.00
Last column: nearest neighbours and their distance in Å.
Atoms (fractional coordinates):
1 As 0.0000 0.0000 0.5424  4 Co 2.37, 1 Li 2.56
2 Co 0.5000 0.5000 0.7133  4 As 2.37, 5 Li 2.63
3 Li 0.0000 0.0000 0.9693  1 As 2.56, 4 Co 2.63, 4 Li 2.82
4 Li 0.5000 0.5000 0.2750  1 Co 2.63, 4 As 2.67, 6 Li 2.82-2.90

- Symmetry: No. 25
- Energy of formation: -0.66 eV/f.u.
- E: -10.733 eV per atom
- Volume: 55 Å³/f.u.


Computed, not measured: a PBEsol-optimized structure of SrAs2SeI at the SCAN level of DFT.

abc: 5.4439 5.7420 5.7420
angles: 90.00 90.00 90.00
Last column: nearest neighbours and their distance in Å.
Atoms (fractional coordinates):
1 I 0.5000 0.5000 0.5000  8 As 3.96, 4 Se 4.06
2 Sr 0.0000 0.0000 0.0000  2 Se 2.72, 4 As 2.87
3 As 0.0000 0.0000 0.5000  2 Sr 2.87
4 As 0.0000 0.5000 0.0000  2 Sr 2.87
5 Se 0.5000 0.0000 0.0000  2 Sr 2.72

- E_form (uncorrected): 0.74 eV/atom
- Symmetry: No. 123
- E: -23.151 eV per atom
- Volume: 179 Å³/f.u.


Computed, not measured: a PBEsol-optimized structure of NaTaGeO5 at the SCAN level of DFT.

abc: 5.6346 5.6346 7.4364
angles: 104.98 104.98 104.76
Last column: nearest neighbours and their distance in Å.
Atoms (fractional coordinates):
1 Na 0.3255 0.6745 0.2500  5 O 2.32-2.53
2 Na 0.6745 0.3255 0.7500  5 O 2.32-2.53
3 Ta 0.0000 0.0000 0.5000  6 O 1.95-2.01
4 Ta 0.0000 0.0000 0.0000  6 O 1.95-2.01
5 Ge 0.3175 0.6825 0.7500  4 O 1.75-1.76
6 Ge 0.6825 0.3175 0.2500  4 O 1.75-1.76
7 O 0.9346 0.0654 0.7500  2 Ta 1.95
8 O 0.0654 0.9346 0.2500  2 Ta 1.95
9 O 0.6975 0.1098 0.3899  1 Ge 1.76
10 O 0.8902 0.3025 0.1101  1 Ge 1.76
11 O 0.3025 0.8902 0.6101  1 Ge 1.76
12 O 0.1098 0.6975 0.8899  1 Ge 1.76
13 O 0.2435 0.3639 0.5900  1 Ge 1.75
14 O 0.6361 0.7565 0.9100  1 Ge 1.75
15 O 0.7565 0.6361 0.4100  1 Ge 1.75
16 O 0.3639 0.2435 0.0900  1 Ge 1.75

- E_form (uncorrected): -2.47 eV/atom
- Symmetry: No. 15
- E: -17.605 eV per atom
- Volume: 103 Å³/f.u.